1.
## AcGdSi4 (GGA-PBE)

Data for a relaxed structure of AcGdSi4.

Lattice parameters (Å, degrees): 7.887 7.887 7.887 90.00 90.00 90.00
Space group F-43m (No. 216)
One atom of each set of equivalent atoms:
Ac 0.000 0.000 0.000 (multiplicity 4)
Gd 0.250 0.250 0.750 (multiplicity 4)
Si 0.115 0.115 0.385 (multiplicity 16)

The calculation puts the uncorrected energy at -6.891 eV/atom. The energy relative to the elements, uncorrected is -244 meV/atom. The calculated volume comes out at 122.64 Å³/f.u. The size of the total moment comes out at 6.87 μB per formula unit.

***

2.
## AcGd2Si (GGA-PBE)

Data for a relaxed structure of AcGd2Si.

Lattice parameters (Å, degrees): 3.791 3.791 8.279 90.00 90.00 90.00
Space group P4/mmm (No. 123)
One atom of each set of equivalent atoms:
Ac 0.000 0.000 0.000 (multiplicity 1)
Gd 0.500 0.500 0.320 (multiplicity 2)
Si 0.000 0.000 0.500 (multiplicity 1)

The calculation puts the uncorrected energy at -9.680 eV/atom. The calculation puts the excess energy over the best structure of this formula in the dataset at 0 meV/atom. The energy relative to the elements, uncorrected is -257 meV/atom. The calculated volume comes out at 118.98 Å³/f.u. The size of the total moment comes out at 15.12 μB per formula unit.

***

3.
## Ac2GdSi (GGA-PBE)

Data for a relaxed structure of Ac2GdSi.

Lattice parameters (Å, degrees): 5.122 5.122 4.814 90.00 90.00 90.00
Space group P4/mmm (No. 123)
One atom of each set of equivalent atoms:
Ac 0.000 0.500 0.000 (multiplicity 2)
Gd 0.000 0.000 0.500 (multiplicity 1)
Si 0.500 0.500 0.500 (multiplicity 1)

The calculation puts the uncorrected energy at -7.034 eV/atom. The energy relative to the elements, uncorrected is -104 meV/atom. The calculated volume comes out at 126.28 Å³/f.u. The size of the total moment comes out at 7.78 μB per formula unit.

***

4.
## AcGd2Si (GGA-PBE)

Data for a relaxed structure of AcGd2Si.

Lattice parameters (Å, degrees): 4.0423 4.0423 28.9866 90.00 90.00 120.00
Space group R-3m (No. 166, hexagonal axes)
One atom of each set of equivalent atoms:
Ac 0.0000 0.0000 0.0000 (multiplicity 3)
Gd 0.0000 0.0000 0.2231 (multiplicity 6)
Si 0.0000 0.0000 0.5000 (multiplicity 3)

The calculation puts the uncorrected energy at -9.627 eV/atom. The calculation puts the excess energy over the best structure of this formula in the dataset at 53 meV/atom. The energy relative to the elements, uncorrected is -204 meV/atom. The calculated volume comes out at 136.73 Å³/f.u. The size of the total moment comes out at 14.60 μB per formula unit.